Entry from Alexandria via LeMat-Bulk: a geometry-optimized Np4ZnGa12 structure (GGA-PBE).

## Properties
Symmetry: Im-3m
DFT total energy in eV/atom: -5.434
Crystal system: cubic
Formation energy in kJ per mole of atoms: -17.18
Calculated volume in Å³ per atom: 19.1

a = 7.5018 Å, b = 7.5018 Å, c = 7.5018 Å
α = 109.47°, β = 109.47°, γ = 109.47°
Last column: nearest neighbours and their distance in Å.
Sites, in units of the cell vectors:
Np 0.0000 0.0000 0.5000  12 Ga 3.06-3.09
Np 0.0000 0.5000 0.0000  12 Ga 3.06-3.09
Np 0.5000 0.0000 0.0000  12 Ga 3.06-3.09
Np 0.5000 0.5000 0.5000  12 Ga 3.06-3.09
Zn 0.0000 0.0000 0.0000  6 Ga 2.59
Ga 0.0000 0.2989 0.2989  1 Zn 2.59, 4 Ga 2.78
Ga 0.0000 0.7011 0.7011  1 Zn 2.59, 4 Ga 2.78
Ga 0.2500 0.5000 0.7500  8 Ga 2.78-3.06, 4 Np 3.06
Ga 0.2500 0.7500 0.5000  8 Ga 2.78-3.06, 4 Np 3.06
Ga 0.2989 0.0000 0.2989  1 Zn 2.59, 4 Ga 2.78
Ga 0.2989 0.2989 0.0000  1 Zn 2.59, 4 Ga 2.78
Ga 0.5000 0.2500 0.7500  8 Ga 2.78-3.06, 4 Np 3.06
Ga 0.5000 0.7500 0.2500  8 Ga 2.78-3.06, 4 Np 3.06
Ga 0.7011 0.0000 0.7011  1 Zn 2.59, 4 Ga 2.78
Ga 0.7011 0.7011 0.0000  1 Zn 2.59, 4 Ga 2.78
Ga 0.7500 0.2500 0.5000  8 Ga 2.78-3.06, 4 Np 3.06
Ga 0.7500 0.5000 0.2500  8 Ga 2.78-3.06, 4 Np 3.06